ReTeIr2Cl: relaxed, PBE.

Output
Raw formation energy = 1699.1 meV/atom
Space-group type = P4/mmm

abc: 4.580 4.384 4.580
angles: 90.00 90.00 90.00
Fractional coordinates of all 5 atoms:
Re1 0.000 0.500 0.000
Ir1 0.000 0.000 0.500
Ir2 0.500 0.000 0.000
Te1 0.500 0.500 0.500
Cl1 0.000 0.000 0.000

IrRhCl2: relaxed, PBE.

Output
Raw formation energy = 510.5 meV/atom
Space-group type = R-3m

abc: 8.615 8.615 8.615
angles: 20.22 20.22 20.22
Fractional coordinates of all 4 atoms:
Ir1 0.000 0.000 0.000
Rh1 0.500 0.500 0.500
Cl1 0.910 0.910 0.910
Cl2 0.090 0.090 0.090

IrRhCl4: relaxed, PBE.

Output
Raw formation energy = 1644.4 meV/atom
Space-group type = F-43m

abc: 5.543 5.543 5.543
angles: 60.00 60.00 60.00
Fractional coordinates of all 6 atoms:
Ir1 0.750 0.750 0.750
Rh1 0.000 0.000 0.000
Cl1 0.875 0.375 0.375
Cl2 0.375 0.375 0.875
Cl3 0.375 0.875 0.375
Cl4 0.375 0.375 0.375

IrRhCl2: relaxed, PBE.

Output
Raw formation energy = 319.8 meV/atom
Space-group type = Amm2

abc: 3.797 4.709 4.712
angles: 59.31 90.00 90.00
Fractional coordinates of all 4 atoms:
Ir1 0.000 0.520 0.520
Rh1 0.500 0.727 0.727
Cl1 0.000 0.955 0.955
Cl2 0.500 0.298 0.298

IrRhCl2: relaxed, PBE.

Output
Raw formation energy = 629.3 meV/atom
Space-group type = Cmmm

abc: 3.064 3.064 8.262
angles: 90.00 90.00 124.06
Fractional coordinates of all 4 atoms:
Ir1 0.500 0.500 0.250
Rh1 0.500 0.500 0.750
Cl1 0.000 0.000 0.000
Cl2 0.000 0.000 0.500

IrRh4Cl: relaxed, PBE.

Output
Raw formation energy = 916.4 meV/atom
Space-group type = F-43m

abc: 5.142 5.142 5.142
angles: 60.00 60.00 60.00
Fractional coordinates of all 6 atoms:
Ir1 0.000 0.000 0.000
Rh1 0.875 0.375 0.375
Rh2 0.375 0.375 0.875
Rh3 0.375 0.875 0.375
Rh4 0.375 0.375 0.375
Cl1 0.750 0.750 0.750

IrRhCl2: relaxed, PBE.

Output
Raw formation energy = 636.7 meV/atom
Space-group type = Pmmm

abc: 2.869 5.409 4.142
angles: 90.00 90.00 90.00
Fractional coordinates of all 4 atoms:
Ir1 0.500 0.000 0.500
Rh1 0.000 0.500 0.500
Cl1 0.000 0.000 0.000
Cl2 0.500 0.500 0.000

IrRhCl2: relaxed, PBE.

Output
Raw formation energy = 1032.0 meV/atom
Space-group type = Fm-3m

abc: 4.445 4.445 4.445
angles: 60.00 60.00 60.00
Fractional coordinates of all 4 atoms:
Ir1 0.500 0.500 0.500
Rh1 0.000 0.000 0.000
Cl1 0.250 0.250 0.250
Cl2 0.750 0.750 0.750

Ir2Rh2Cl: relaxed, PBE.

Output
Raw formation energy = 571.1 meV/atom
Space-group type = I4/mmm

abc: 3.634 3.634 7.059
angles: 75.08 75.08 90.00
Fractional coordinates of all 5 atoms:
Ir1 0.750 0.250 0.500
Ir2 0.250 0.750 0.500
Rh1 0.392 0.392 0.216
Rh2 0.608 0.608 0.784
Cl1 0.000 0.000 0.000

IrRhCl2: relaxed, PBE.

Output
Raw formation energy = 623.2 meV/atom
Space-group type = Imm2

abc: 7.152 7.152 7.152
angles: 156.35 147.58 40.53
Fractional coordinates of all 4 atoms:
Ir1 0.461 0.461 0.000
Rh1 0.293 0.793 0.500
Cl1 0.997 0.997 0.000
Cl2 0.749 0.249 0.500

IrRhCl2: relaxed, PBE.

Output
Raw formation energy = 619.0 meV/atom
Space-group type = Immm

abc: 5.164 5.164 5.164
angles: 147.59 117.26 72.41
Fractional coordinates of all 4 atoms:
Ir1 0.750 0.250 0.500
Rh1 0.250 0.750 0.500
Cl1 0.987 0.987 0.000
Cl2 0.513 0.513 0.000

IrRhCl2: relaxed, PBE.

Output
Raw formation energy = 781.6 meV/atom
Space-group type = I-42d

abc: 6.570 6.570 5.574
angles: 53.89 53.89 90.00
Fractional coordinates of all 8 atoms:
Ir1 0.000 0.000 0.000
Ir2 0.750 0.250 0.500
Rh1 0.500 0.500 0.000
Rh2 0.250 0.750 0.500
Cl1 0.635 0.125 0.250
Cl2 0.115 0.625 0.250
Cl3 0.375 0.365 0.750
Cl4 0.875 0.885 0.750

Magnetization readings, ordered: 0.00 1.46 2.84 0.00 0.00 1.92 0.00 0.00 0.00 1.80 0.00 0.00 Bohr magnetons per cell